Computed, not measured: a relaxed structure of LiGdGe at the PBE-GGA level of DFT.

As for the offset from the most stable computed form: 0.2609 eV/atom. As for the total energy: -4.183 eV per atom. The value obtained for the total magnetization is 0.0 μB per cell.

POSCAR file:
```
LiGdGe
1.0
0.2175 -3.4192 -2.8142
2.2463 -3.6545 1.1211
-2.1808 -3.7540 0.8998
Gd Ge Li
1 1 1
Cartesian
0.0708 -2.7069 -0.1983
0.2123 -8.1208 -0.5950
0.0000 0.0000 0.0000
```

***

Computed, not measured: a relaxed structure of PmSbAsO at the PBE-GGA level of DFT.

As for the offset from the most stable computed form: 0.1072 eV/atom. As for the total energy: -5.889 eV per atom. The value obtained for the total magnetization is 0.0 μB per cell.

POSCAR file:
```
PmSbAsO
1.0
4.4542 0.0000 0.0000
0.0000 6.1997 0.0000
0.0000 0.0000 6.3139
As O Pm Sb
2 2 2 2
Cartesian
0.0000 2.6296 1.8012
0.0000 3.5701 4.9582
2.2271 5.7635 2.5885
2.2271 0.4362 5.7455
2.2271 4.5499 0.5540
2.2271 1.6498 3.7109
0.0000 5.4738 2.9740
0.0000 0.7259 6.1310
```